1.
20
Lattice="-0.6729 3.5923 -0.1777 -4.9143 -0.5075 8.3519 8.1748 1.7745 4.9179" Properties=species:S:1:pos:R:3 comment="GGA-PBE Tm2AlZn2Pd5, optimized geometry" crystal_system=tetragonal dos_ef_per_ev_cell=9.99 dft_energy_ha_per_atom=-0.1789 pbc="T T T"
Tm -1.8902 -0.0334 6.4832
Tm 5.1507 1.3004 6.7865
Tm 1.8115 0.4905 3.0560
Tm 1.4490 0.7766 10.2137
Al 0.0000 0.0000 0.0000
Al 1.6303 0.6335 6.6349
Zn 4.4935 1.0450 4.1117
Zn -1.2330 0.2220 9.1581
Zn 4.0874 1.2365 9.5215
Zn -0.8269 0.0305 3.7482
Pd -0.7997 1.8072 1.8886
Pd 3.3873 3.0521 11.2035
Pd 5.8965 3.1845 4.3763
Pd -0.2038 2.2161 7.9012
Pd -3.3088 1.6748 8.7158
Pd 2.7915 2.6432 5.1909
Pd 2.6139 2.7516 8.0556
Pd -0.0262 2.1077 5.0365
Pd -2.7936 1.5424 4.0871
Pd 3.7509 2.6834 2.3701



2.
10
Lattice="-1.1868 -3.5437 1.7358 3.8933 -1.3467 -0.0875 1.6880 4.2425 9.8154" Properties=species:S:1:pos:R:3 comment="GGA-PBE Tm2Al4ZnPd3, optimized geometry" crystal_system=tetragonal dos_ef_per_ev_cell=4.93 dft_energy_ha_per_atom=-0.1766 pbc="T T T"
Tm -0.1765 -0.7242 3.2917
Tm 3.2178 2.5215 7.3478
Al 1.3533 -2.4452 0.8242
Al 0.0000 0.0000 0.0000
Al 0.4800 0.9260 7.1094
Al 2.5613 0.8714 3.5302
Zn 2.1973 -0.3239 5.7318
Pd 0.8440 2.1213 4.9077
Pd 0.8633 1.8892 9.3380
Pd 2.1780 -0.0919 1.3015



3.
4
Lattice="-0.3376 4.2086 -2.4655 -2.6610 0.2274 -4.0954 -4.2150 2.4772 -0.0422" Properties=species:S:1:pos:R:3 comment="GGA-PBE TmZrAlPd, optimized geometry" crystal_system=cubic dos_ef_per_ev_cell=4.54 dft_energy_ha_per_atom=-0.2186 pbc="T T T"
Tm -5.4102 5.1849 -4.9523
Zr -1.8034 1.7283 -1.6508
Pd 0.0000 0.0000 0.0000
Al -3.6068 3.4566 -3.3015



4.
6
Lattice="2.9138 0.0000 0.0000 0.0000 4.6078 0.0000 -1.4569 0.0000 7.7656" Properties=species:S:1:pos:R:3 comment="GGA-PBE UAlPd, optimized geometry" crystal_system=orthorhombic dos_ef_per_ev_cell=8.95 dft_energy_ha_per_atom=-0.2628 pbc="T T T"
Pd 0.0000 1.1519 6.8703
Pd 1.4569 3.4558 0.8953
Al 1.4569 3.4558 6.4273
Al 0.0000 1.1519 1.3383
U 1.4569 1.1519 4.1717
U 0.0000 3.4558 3.5939



5.
3
Lattice="2.8968 0.0000 0.0000 0.0000 2.8968 0.0000 -1.4484 -1.4484 6.2959" Properties=species:S:1:pos:R:3 comment="GGA-PBE UAlPd, optimized geometry" crystal_system=tetragonal dos_ef_per_ev_cell=5.42 dft_energy_ha_per_atom=-0.2617 pbc="T T T"
U 1.4484 1.4484 6.2814
Al 0.0000 0.0000 3.9485
Pd 1.4484 1.4484 2.3620



6.
28
Lattice="-3.0013 3.0957 0.3196 -2.0102 -1.3119 -6.1706 -11.2355 -11.5240 6.1102" Properties=species:S:1:pos:R:3 comment="GGA-PBE UAl4Pd2, optimized geometry" crystal_system=orthorhombic dos_ef_per_ev_cell=34.64 dft_energy_ha_per_atom=-0.2114 pbc="T T T"
U -11.3555 -6.2791 -1.9510
U -4.8915 -3.4610 2.2103
U -11.4470 -9.8350 2.3869
U -4.8001 0.0948 -2.1277
Al -9.0793 -7.5688 2.6713
Al -7.1677 -2.1714 -2.4120
Al -12.8532 -7.9775 0.4354
Al -3.3939 -1.7627 -0.1761
Al -9.8182 -8.0234 0.1356
Al -6.4289 -1.7168 0.1237
Al -11.7300 -7.2721 4.1508
Al -4.5171 -2.4680 -3.8916
Al -7.1378 -5.6450 2.2703
Al -9.1093 -4.0952 -2.0110
Al -14.4323 -9.6648 1.9490
Al -1.8148 -0.0754 -1.6898
Al -6.5562 -4.8093 -0.3628
Al -9.6909 -4.9309 0.6220
Al -5.0606 0.1867 -5.4643
Al -11.1865 -9.9269 5.7236
Pd -8.3259 -6.4279 -1.3043
Pd -7.9212 -3.3123 1.5635
Pd -13.5700 -9.0946 4.5232
Pd -2.6770 -0.6456 -4.2640
Pd -11.4892 -9.5167 -1.0924
Pd -4.7579 -0.2235 1.3517
Pd -11.2416 -6.5506 1.7485
Pd -5.0055 -3.1895 -1.4893



7.
13
Lattice="4.8446 -0.0712 2.0183 2.2941 6.6531 0.9558 -0.0021 -0.0356 6.8286" Properties=species:S:1:pos:R:3 comment="GGA-PBE UAl11Pd, optimized geometry" crystal_system=monoclinic dos_ef_per_ev_cell=10.92 dft_energy_ha_per_atom=-0.1689 pbc="T T T"
U 0.0000 0.0000 0.0000
Al 1.8959 1.4112 2.2427
Al 5.2407 5.1351 7.5600
Al 4.2114 5.1707 3.2073
Al 2.9252 1.3755 6.5954
Al 3.1749 4.2587 5.7436
Al 3.9618 2.2876 4.0591
Al 0.8251 2.3232 4.7646
Al 6.3115 4.2231 5.0381
Al 1.1471 3.3266 0.4779
Al 2.4213 -0.0534 4.4235
Al -0.0011 -0.0178 3.4143
Pd 3.5694 3.2909 1.4871



8.
4
Lattice="-1.6814 1.3914 -1.8987 -2.8425 0.2328 0.4841 -0.0573 8.6166 4.1616" Properties=species:S:1:pos:R:3 comment="GGA-PBE UAl2Pd, optimized geometry" crystal_system=trigonal dos_ef_per_ev_cell=4.47 dft_energy_ha_per_atom=-0.2334 pbc="T T T"
U -2.2906 5.1204 1.3735
Al -3.3909 7.9314 2.2042
Al -1.1904 2.3095 0.5429
Pd 0.0000 0.0000 0.0000



9.
26
Lattice="6.8608 0.0611 0.0000 -0.9554 6.7942 0.0000 0.0000 0.0000 9.3349" Properties=species:S:1:pos:R:3 comment="GGA-PBE UAl10Pd2, optimized geometry" crystal_system=orthorhombic dos_ef_per_ev_cell=21.37 dft_energy_ha_per_atom=-0.1790 pbc="T T T"
U 5.9462 0.8490 7.0012
U -0.0407 6.0063 2.3337
Al 2.5866 0.9324 7.0012
Al 3.3189 5.9230 2.3337
Al 5.3663 4.1593 7.0012
Al 0.5391 2.6961 2.3337
Al 2.8754 5.2567 7.0012
Al 3.0300 1.5987 2.3337
Al 1.1324 3.2333 7.0012
Al 4.7730 3.6220 2.3337
Al 5.6315 1.1201 3.7159
Al 0.2739 5.7353 8.3833
Al 5.6315 1.1201 0.9516
Al 0.2739 5.7353 5.6190
Al 3.8607 2.6455 8.7188
Al 2.0448 4.2098 4.0514
Al 3.8607 2.6455 5.2835
Al 2.0448 4.2098 0.6161
Al 4.6303 5.3751 0.0000
Al 1.2751 1.4802 4.6674
Al 1.2751 1.4802 0.0000
Al 4.6303 5.3751 4.6674
Pd 3.4304 0.0306 0.0000
Pd 3.4304 0.0306 4.6674
Pd -0.4777 3.3971 4.6674
Pd -0.4777 3.3971 0.0000



10.
4
Lattice="-1.2145 -2.5718 0.1942 0.6466 -0.5114 -2.7289 7.2008 -3.2262 2.3109" Properties=species:S:1:pos:R:3 comment="GGA-PBE UAl2Pd, optimized geometry" crystal_system=tetragonal dos_ef_per_ev_cell=4.30 dft_energy_ha_per_atom=-0.2376 pbc="T T T"
U 3.3165 -3.1547 -0.1120
Al 5.6680 -2.5395 1.8190
Al 1.5328 -0.6868 0.4919
Pd -0.2840 -1.5416 -1.2674



11.
10
Lattice="-7.1917 -0.9485 1.5394 1.5607 -6.4443 3.3204 0.3424 1.3291 2.4186" Properties=species:S:1:pos:R:3 comment="GGA-PBE AlV2Pd2, optimized geometry" crystal_system=tetragonal dos_ef_per_ev_cell=8.88 dft_energy_ha_per_atom=-0.2409 pbc="T T T"
Al 0.0000 0.0000 0.0000
Al -2.8155 -3.6964 2.4299
Pd -1.3164 -5.9748 3.4697
Pd -5.2941 -4.8722 3.4269
Pd -4.3146 -1.4179 1.3900
Pd -0.3369 -2.5206 1.4329
V -0.0083 -3.8177 3.6979
V -3.3558 -5.3172 4.9958
V -5.2803 -2.2460 3.5805
V -1.9328 -0.7465 2.2826



12.
11
Lattice="-2.7544 2.2512 2.5902 -4.4444 -2.7154 -2.3663 4.0421 -4.5192 4.4882" Properties=species:S:1:pos:R:3 comment="GGA-PBE AlV2Pd8, optimized geometry" crystal_system=monoclinic dos_ef_per_ev_cell=5.79 relative_energy_mev_per_atom=28 pbc="T T T"
Al -1.3772 1.1256 1.2951
V -1.1052 -1.8169 4.1417
V -2.0515 -3.1666 0.5705
Pd -0.7140 -4.0457 2.7569
Pd -4.5132 -2.2100 0.8592
Pd -3.3124 -3.2641 3.0523
Pd 0.1192 -2.9781 6.4529
Pd 0.1557 -1.7194 1.6599
Pd 1.3564 -2.7735 3.8529
Pd -2.4428 -0.9378 1.9553
Pd -3.2759 -2.0053 -1.7408